[1]
Density functional theory data (PBE) for a geometry-optimized MgTiFe2Cl structure.

Summary:
Uncorrected formation energy in eV/atom: 1.38
E in eV/atom: -4.2713
DOS at the Fermi energy in states/eV per cell: 5.280

Unit cell a=4.625 b=5.219 c=4.625 alpha=90.00 beta=90.00 gamma=90.00
Fractional coordinates of all 5 atoms:
Ti  0.000  0.500  0.000
Cl  0.500  0.500  0.500
Fe  0.000  0.000  0.500
Fe  0.500  0.000  0.000
Mg  0.000  0.000  0.000

[2]
Density functional theory data (PBE) for a geometry-optimized Tl5BiF8 structure.

Summary:
Uncorrected formation energy in eV/atom: -1.95
E in eV/atom: -4.1451
DOS at the Fermi energy in states/eV per cell: 0.000

Unit cell a=7.934 b=7.934 c=8.007 alpha=119.70 beta=90.53 gamma=119.39
Fractional coordinates of all 14 atoms:
F  0.576  0.281  0.702
F  0.580  0.876  0.705
F  0.620  0.361  0.231
F  0.578  0.874  0.298
F  0.129  0.388  0.769
F  0.172  0.876  0.703
F  0.171  0.875  0.295
F  0.174  0.469  0.297
Tl  0.875  0.375  0.000
Tl  0.375  0.375  0.000
Tl  0.375  0.875  0.000
Tl  0.006  0.140  0.396
Tl  0.744  0.610  0.604
Bi  0.375  0.875  0.500

[3]
Density functional theory data (PBE) for a geometry-optimized CsK5Rb6 structure.

Summary:
E in eV/atom: -1.0051
DOS at the Fermi energy in states/eV per cell: 9.729

Unit cell a=16.319 b=8.548 c=8.514 alpha=59.87 beta=85.33 gamma=80.66
Fractional coordinates of all 12 atoms:
Cs  0.000  0.000  0.000
Rb  0.255  0.574  0.340
Rb  0.745  0.746  0.000
Rb  0.255  0.254  0.000
Rb  0.745  0.086  0.340
Rb  0.745  0.426  0.660
Rb  0.255  0.914  0.660
K  0.500  0.165  0.670
K  0.500  0.500  0.000
K  0.000  0.333  0.333
K  0.000  0.667  0.667
K  0.500  0.835  0.330

[4]
Density functional theory data (PBE) for a geometry-optimized Tl2InCoPd structure.

Summary:
E in eV/atom: -2.8896
DOS at the Fermi energy in states/eV per cell: 3.176

Unit cell a=5.647 b=5.034 c=5.647 alpha=90.00 beta=90.00 gamma=90.00
Fractional coordinates of all 5 atoms:
Pd  0.000  0.500  0.000
Tl  0.500  0.000  0.000
Tl  0.000  0.000  0.500
In  0.000  0.000  0.000
Co  0.500  0.500  0.500

[5]
Density functional theory data (PBE) for a geometry-optimized RbNb3Ru structure.

Summary:
E in eV/atom: -5.1160
E above lowest polymorph in eV/atom: 1.681
DOS at the Fermi energy in states/eV per cell: 5.369

Unit cell a=4.718 b=4.718 c=4.718 alpha=90.00 beta=90.00 gamma=90.00
Fractional coordinates of all 5 atoms:
Nb  0.000  0.500  0.000
Nb  0.500  0.000  0.000
Nb  0.000  0.000  0.500
Rb  0.000  0.000  0.000
Ru  0.500  0.500  0.500

[6]
Density functional theory data (PBE) for a geometry-optimized ThFeP structure.

Summary:
E in eV/atom: -7.2480
DOS at the Fermi energy in states/eV per cell: 5.970

Unit cell a=3.411 b=3.814 c=9.849 alpha=95.31 beta=99.97 gamma=90.00
Fractional coordinates of all 6 atoms:
Fe  0.276  0.697  0.552
Fe  0.493  0.572  0.985
P  0.543  0.100  0.086
P  0.772  0.198  0.543
Th  0.655  0.646  0.310
Th  0.393  0.165  0.786

[7]
Density functional theory data (PBE) for a geometry-optimized Hf2Al2In structure.

Summary:
E in eV/atom: -5.7922
E above lowest polymorph in eV/atom: 0.456
DOS at the Fermi energy in states/eV per cell: 3.198

Unit cell a=4.359 b=4.359 c=6.722 alpha=71.08 beta=71.08 gamma=90.00
Fractional coordinates of all 5 atoms:
Al  0.602  0.602  0.795
Al  0.398  0.398  0.205
In  0.000  0.000  0.000
Hf  0.750  0.250  0.500
Hf  0.250  0.750  0.500

[8]
Density functional theory data (PBE) for a geometry-optimized CsTlAu structure.

Summary:
E in eV/atom: -2.3173
DOS at the Fermi energy in states/eV per cell: 2.592

Unit cell a=5.372 b=5.106 c=5.106 alpha=120.00 beta=90.00 gamma=90.00
Fractional coordinates of all 3 atoms:
Tl  0.167  0.333  0.667
Au  0.166  0.000  0.000
Cs  0.667  0.667  0.333